Record 1
Ca5Zn3 after structural relaxation. Source: Alexandria, functional PBE-GGA.

Unit cell a=9.2175 b=9.1897 c=12.2275 alpha=48.47 beta=48.28 gamma=83.25
Element x y z (fractional)
1 Ca 0.0000 0.0000 0.0000
2 Ca 0.0373 0.4618 0.1692
3 Ca 0.1684 0.3308 0.4626
4 Ca 0.3308 0.1684 0.0382
5 Ca 0.4618 0.0373 0.3316
6 Ca 0.4998 0.4998 0.5002
7 Ca 0.5374 0.9618 0.8316
8 Ca 0.6684 0.8308 0.5382
9 Ca 0.8308 0.6684 0.9627
10 Ca 0.9618 0.5374 0.6692
11 Zn 0.9996 0.9996 0.5004
12 Zn 0.0906 0.4101 0.9094
13 Zn 0.4101 0.0906 0.5899
14 Zn 0.4996 0.4996 0.0004
15 Zn 0.5905 0.9091 0.0909
16 Zn 0.9091 0.5905 0.4095

Summary:
As for the space group: Fmm2 (42). Its total energy is -15.05 eV per formula unit. As for the energy of formation: -0.15 eV/atom. As for the energy above the most stable polymorph in this dataset: 0.042 eV per atom.

Record 2
Ca5Zn4 after structural relaxation. Source: Alexandria, functional PBE-GGA.

Unit cell a=6.0443 b=6.0443 c=10.4808 alpha=109.06 beta=109.06 gamma=44.93
Element x y z (fractional)
1 Ca 0.0000 0.0000 0.0000
2 Ca 0.1084 0.1084 0.3946
3 Ca 0.2454 0.2454 0.8239
4 Ca 0.7546 0.7546 0.1761
5 Ca 0.8916 0.8916 0.6054
6 Zn 0.3967 0.3967 0.3899
7 Zn 0.4494 0.4494 0.1683
8 Zn 0.5506 0.5506 0.8317
9 Zn 0.6033 0.6033 0.6101

Summary:
As for the space group: C2/m (12). Its total energy is -16.93 eV per formula unit. As for the energy of formation: -0.20 eV/atom. As for the energy above the most stable polymorph in this dataset: 0.000 eV per atom.

Record 3
Ca6Zn7 after structural relaxation. Source: Alexandria, functional PBE-GGA.

Unit cell a=12.3186 b=12.3186 c=12.3186 alpha=26.16 beta=26.16 gamma=26.16
Element x y z (fractional)
1 Ca 0.0541 0.0541 0.0541
2 Ca 0.1500 0.1500 0.1500
3 Ca 0.3137 0.3137 0.3137
4 Ca 0.6863 0.6863 0.6863
5 Ca 0.8500 0.8500 0.8500
6 Ca 0.9459 0.9459 0.9459
7 Zn 0.1019 0.6006 0.6006
8 Zn 0.3994 0.3994 0.8981
9 Zn 0.3994 0.8981 0.3994
10 Zn 0.5000 0.5000 0.5000
11 Zn 0.6006 0.1019 0.6006
12 Zn 0.6006 0.6006 0.1019
13 Zn 0.8981 0.3994 0.3994

Summary:
As for the space group: R-3m (166). Its total energy is -22.73 eV per formula unit. As for the energy of formation: -0.14 eV/atom.

Record 4
Ca4Zn51 after structural relaxation. Source: Alexandria, functional PBE-GGA.

Unit cell a=14.8549 b=14.8549 c=14.8549 alpha=33.72 beta=33.72 gamma=33.72
Element x y z (fractional)
1 Ca 0.1251 0.1251 0.1251
2 Ca 0.3755 0.3755 0.3755
3 Ca 0.6245 0.6245 0.6245
4 Ca 0.8749 0.8749 0.8749
5 Zn 0.0000 0.0000 0.0000
6 Zn 0.0226 0.7800 0.4202
7 Zn 0.0309 0.2708 0.6684
8 Zn 0.0403 0.1515 0.4031
9 Zn 0.0823 0.4787 0.7202
10 Zn 0.0923 0.2097 0.8489
11 Zn 0.0993 0.4593 0.3398
12 Zn 0.1511 0.9077 0.7903
13 Zn 0.1515 0.4031 0.0403
14 Zn 0.1817 0.5321 0.7561
15 Zn 0.2097 0.8489 0.0923
16 Zn 0.2200 0.5798 0.9774
17 Zn 0.2439 0.8183 0.4679
18 Zn 0.2487 0.2487 0.2487
19 Zn 0.2708 0.6684 0.0309
20 Zn 0.2798 0.9177 0.5213
21 Zn 0.2939 0.6450 0.4158
22 Zn 0.3316 0.9691 0.7292
23 Zn 0.3398 0.0993 0.4593
24 Zn 0.3550 0.5842 0.7061
25 Zn 0.4031 0.0403 0.1515
26 Zn 0.4158 0.2939 0.6450
27 Zn 0.4202 0.0226 0.7800
28 Zn 0.4593 0.3398 0.0993
29 Zn 0.4679 0.2439 0.8183
30 Zn 0.4787 0.7202 0.0823
31 Zn 0.5213 0.2798 0.9177
32 Zn 0.5321 0.7561 0.1817
33 Zn 0.5407 0.6602 0.9007
34 Zn 0.5798 0.9774 0.2200
35 Zn 0.5842 0.7061 0.3550
36 Zn 0.5969 0.9597 0.8485
37 Zn 0.6450 0.4158 0.2939
38 Zn 0.6602 0.9007 0.5407
39 Zn 0.6684 0.0309 0.2708
40 Zn 0.7061 0.3550 0.5842
41 Zn 0.7202 0.0823 0.4787
42 Zn 0.7292 0.3316 0.9691
43 Zn 0.7513 0.7513 0.7513
44 Zn 0.7561 0.1817 0.5321
45 Zn 0.7800 0.4202 0.0226
46 Zn 0.7903 0.1511 0.9077
47 Zn 0.8183 0.4679 0.2439
48 Zn 0.8485 0.5969 0.9597
49 Zn 0.8489 0.0923 0.2097
50 Zn 0.9007 0.5407 0.6602
51 Zn 0.9077 0.7903 0.1511
52 Zn 0.9177 0.5213 0.2798
53 Zn 0.9597 0.8485 0.5969
54 Zn 0.9691 0.7292 0.3316
55 Zn 0.9774 0.2200 0.5798

Summary:
As for the space group: R-3 (148). Its total energy is -80.72 eV per formula unit. As for the energy of formation: -0.14 eV/atom.

Record 5
CaZn4 after structural relaxation. Source: Alexandria, functional PBE-GGA.

Unit cell a=5.9165 b=5.9165 c=5.9165 alpha=90.00 beta=90.00 gamma=90.00
Element x y z (fractional)
1 Ca 0.0000 0.0000 0.0000
2 Zn 0.0000 0.0000 0.5000
3 Zn 0.0000 0.5000 0.0000
4 Zn 0.5000 0.0000 0.0000
5 Zn 0.5000 0.5000 0.5000

Summary:
As for the space group: Pm-3m (221). Its total energy is -3.14 eV per formula unit. As for the energy of formation: 0.79 eV/atom.

Record 6
Ca2Zn3 after structural relaxation. Source: Alexandria, functional PBE-GGA.

Unit cell a=13.8858 b=13.8858 c=4.4409 alpha=90.00 beta=90.00 gamma=163.78
Element x y z (fractional)
1 Ca 0.0709 0.9291 0.7500
2 Ca 0.2061 0.7939 0.2500
3 Ca 0.7939 0.2061 0.7500
4 Ca 0.9291 0.0709 0.2500
5 Zn 0.3313 0.6687 0.2500
6 Zn 0.3823 0.6177 0.7500
7 Zn 0.4761 0.5239 0.7500
8 Zn 0.5239 0.4761 0.2500
9 Zn 0.6177 0.3823 0.2500
10 Zn 0.6687 0.3313 0.7500

Summary:
As for the space group: Cmcm (63). Its total energy is -9.13 eV per formula unit. As for the energy of formation: -0.26 eV/atom.

> Among the records above, which one has the highest energy of formation?

CaZn4